# 1
Compound: KLiMnAg2
Source: the Alexandria database
Functional: meta-GGA SCAN
Structure: PBEsol geometry

Unit cell a=5.062 b=5.075 c=5.075 alpha=90.00 beta=90.00 gamma=90.00
Last column: magnetic moment on the atom in μB.
Fractional positions:
Li: 0.500 0.000 0.000  0.01
Ag: 0.000 0.000 0.500  0.07
Ag: 0.000 0.500 0.000  0.07
Mn: 0.000 0.000 0.000  4.32
K: 0.500 0.500 0.500  -0.01

Values from the calculation:
Total energy (eV per atom): -17.99
Crystal system: tetragonal


# 2
Compound: KMg3Ag
Source: the Alexandria database
Functional: meta-GGA SCAN
Structure: PBEsol geometry

Unit cell a=5.260 b=5.260 c=5.260 alpha=90.00 beta=90.00 gamma=90.00
Fractional positions:
Mg: 0.500 0.000 0.000
Mg: 0.000 0.000 0.500
Mg: 0.000 0.500 0.000
Ag: 0.000 0.000 0.000
K: 0.500 0.500 0.500

Values from the calculation:
Total energy (eV per atom): -10.91
Crystal system: cubic


# 3
Compound: K2Mg2Ag
Source: the Alexandria database
Functional: meta-GGA SCAN
Structure: PBEsol geometry

Unit cell a=4.133 b=4.133 c=11.064 alpha=100.76 beta=100.76 gamma=90.00
Fractional positions:
Ag: 0.000 0.000 0.000
K: 0.592 0.592 0.184
K: 0.408 0.408 0.816
Mg: 0.250 0.750 0.500
Mg: 0.750 0.250 0.500

Values from the calculation:
Total energy (eV per atom): -11.38
Crystal system: tetragonal


# 4
Compound: KMgAgO2
Source: the Alexandria database
Functional: meta-GGA SCAN
Structure: PBEsol geometry

Unit cell a=4.044 b=4.044 c=4.796 alpha=90.00 beta=90.00 gamma=90.00
Last column: magnetic moment on the atom in μB.
Fractional positions:
Ag: 0.500 0.500 0.500  -0.01
O: 0.500 0.000 0.000  0.15
O: 0.000 0.500 0.000  0.15
K: 0.000 0.000 0.500  -0.01
Mg: 0.000 0.000 0.000  -0.01

Values from the calculation:
Raw formation energy (eV/atom): -0.408
Total energy (eV per atom): -11.83
Crystal system: tetragonal


# 5
Compound: KMnAg2
Source: the Alexandria database
Functional: meta-GGA SCAN
Structure: PBEsol geometry

Unit cell a=4.897 b=4.897 c=4.897 alpha=60.00 beta=60.00 gamma=60.00
Last column: magnetic moment on the atom in μB.
Fractional positions:
Ag: 0.750 0.750 0.750  -0.01
Ag: 0.000 0.000 0.000  0.01
K: 0.500 0.500 0.500  0.01
Mn: 0.250 0.250 0.250  4.46

Values from the calculation:
Total energy (eV per atom): -21.86
Crystal system: cubic
Excess energy over the best structure of this formula in the dataset (meV/atom): 330


# 6
Compound: KMnAg2
Source: the Alexandria database
Functional: meta-GGA SCAN
Structure: PBEsol geometry

Unit cell a=3.252 b=3.252 c=8.098 alpha=90.00 beta=90.00 gamma=90.00
Last column: magnetic moment on the atom in μB.
Fractional positions:
Ag: 0.000 0.000 0.678  0.00
Ag: 0.000 0.000 0.322  0.00
Mn: 0.500 0.500 0.500  4.17
K: 0.500 0.500 0.000  -0.01

Values from the calculation:
Total energy (eV per atom): -22.19
Crystal system: tetragonal
Excess energy over the best structure of this formula in the dataset (meV/atom): 0


# 7
Compound: K2MnAg
Source: the Alexandria database
Functional: meta-GGA SCAN
Structure: PBEsol geometry

Unit cell a=5.411 b=5.411 c=5.411 alpha=60.00 beta=60.00 gamma=60.00
Last column: magnetic moment on the atom in μB.
Fractional positions:
K: 0.000 0.000 0.000  0.01
K: 0.750 0.750 0.750  0.00
Ag: 0.500 0.500 0.500  0.00
Mn: 0.250 0.250 0.250  4.55

Values from the calculation:
Total energy (eV per atom): -16.12
Crystal system: cubic


# 8
Compound: KMnAg2
Source: the Alexandria database
Functional: meta-GGA SCAN
Structure: PBEsol geometry

Unit cell a=3.353 b=3.353 c=8.070 alpha=90.00 beta=90.00 gamma=90.00
Last column: magnetic moment on the atom in μB.
Fractional positions:
Ag: 0.000 0.000 0.994  0.01
Ag: 0.500 0.500 0.180  0.00
K: 0.000 0.000 0.489  0.00
Mn: 0.500 0.500 0.837  4.28

Values from the calculation:
Total energy (eV per atom): -22.07
Crystal system: tetragonal
Excess energy over the best structure of this formula in the dataset (meV/atom): 128


# 9
Compound: KMnAg2
Source: the Alexandria database
Functional: meta-GGA SCAN
Structure: PBEsol geometry

Unit cell a=2.970 b=5.220 c=5.220 alpha=90.00 beta=90.00 gamma=90.00
Last column: magnetic moment on the atom in μB.
Fractional positions:
K: 0.500 0.500 0.500  -0.01
Ag: 0.000 0.500 0.000  -0.02
Ag: 0.000 0.000 0.500  -0.02
Mn: 0.500 0.000 0.000  4.29

Values from the calculation:
Total energy (eV per atom): -22.02
Crystal system: tetragonal
Excess energy over the best structure of this formula in the dataset (meV/atom): 169


# 10
Compound: KAgMo2
Source: the Alexandria database
Functional: meta-GGA SCAN
Structure: PBEsol geometry

Unit cell a=2.595 b=5.057 c=6.501 alpha=112.89 beta=101.51 gamma=90.00
Fractional positions:
K: 0.000 0.500 0.000
Mo: 0.781 0.781 0.561
Mo: 0.219 0.219 0.439
Ag: 0.500 0.000 0.000

Values from the calculation:
Total energy (eV per atom): -26.40
Crystal system: orthorhombic
Excess energy over the best structure of this formula in the dataset (meV/atom): 121


# 11
Compound: KAgMo2
Source: the Alexandria database
Functional: meta-GGA SCAN
Structure: PBEsol geometry

Unit cell a=2.684 b=2.684 c=10.391 alpha=90.00 beta=90.00 gamma=90.00
Fractional positions:
Ag: 0.000 0.000 0.464
Mo: 0.500 0.500 0.254
Mo: 0.000 0.000 0.041
K: 0.500 0.500 0.741

Values from the calculation:
Total energy (eV per atom): -26.52
Crystal system: tetragonal
Excess energy over the best structure of this formula in the dataset (meV/atom): 0


# 12
Compound: KAgMo2Rh
Source: the Alexandria database
Functional: meta-GGA SCAN
Structure: PBEsol geometry

Unit cell a=4.740 b=4.740 c=5.262 alpha=90.00 beta=90.00 gamma=90.00
Last column: magnetic moment on the atom in μB.
Fractional positions:
Rh: 0.000 0.000 0.000  0.00
Mo: 0.500 0.000 0.000  2.01
Mo: 0.000 0.500 0.000  2.01
K: 0.500 0.500 0.500  0.02
Ag: 0.000 0.000 0.500  0.02

Values from the calculation:
Total energy (eV per atom): -27.40
Crystal system: tetragonal